Record 1
Compound: KGaTeI2
Source: Alexandria via LeMat-Bulk
Functional: PBE-GGA
Structure: optimized geometry

Lattice parameters (Å, degrees): 5.958 5.958 5.437 90.00 90.00 90.00
Atoms (fractional coordinates):
1 Te 0.000 0.000 0.500
2 I 0.000 0.500 0.000
3 I 0.500 0.000 0.000
4 K 0.500 0.500 0.500
5 Ga 0.000 0.000 0.000

Uncorrected formation energy (eV per atom): -0.533
Space-group type: P4/mmm, No. 123
E_tot (eV/atom): -2.607


Record 2
Compound: LaNdEr6
Source: Alexandria via LeMat-Bulk
Functional: PBE-GGA
Structure: optimized geometry

Lattice parameters (Å, degrees): 5.037 5.037 10.077 90.00 90.00 90.00
Atoms (fractional coordinates):
1 La 0.000 0.000 0.000
2 Er 0.500 0.500 0.000
3 Er 0.000 0.500 0.748
4 Er 0.500 0.000 0.252
5 Er 0.500 0.000 0.748
6 Er 0.500 0.500 0.500
7 Er 0.000 0.500 0.252
8 Nd 0.000 0.000 0.500

Space-group type: P4/mmm, No. 123
E_form (meV/atom): 31
E_tot (eV/atom): -4.603


Record 3
Compound: Pr2VCrS6
Source: Alexandria via LeMat-Bulk
Functional: PBE-GGA
Structure: optimized geometry

Lattice parameters (Å, degrees): 6.302 6.991 9.206 90.00 90.21 90.00
Atoms (fractional coordinates):
1 S 0.893 0.518 0.250
2 S 0.321 0.692 0.450
3 S 0.321 0.689 0.048
4 S 0.821 0.811 0.548
5 S 0.679 0.308 0.550
6 S 0.679 0.311 0.952
7 S 0.179 0.192 0.050
8 S 0.607 0.018 0.250
9 S 0.393 0.982 0.750
10 S 0.821 0.808 0.950
11 S 0.107 0.482 0.750
12 S 0.179 0.189 0.452
13 Pr 0.541 0.599 0.749
14 Pr 0.041 0.901 0.249
15 Pr 0.959 0.099 0.751
16 Pr 0.459 0.401 0.251
17 V 0.000 0.500 0.500
18 V 0.500 0.000 0.000
19 Cr 0.000 0.500 0.000
20 Cr 0.500 0.000 0.500

Uncorrected formation energy (eV per atom): -1.408
Space-group type: P2_1/c, No. 14
E_tot (eV/atom): -6.714


Record 4
Compound: Pm6Si2Te3As
Source: Alexandria via LeMat-Bulk
Functional: PBE-GGA
Structure: optimized geometry

Lattice parameters (Å, degrees): 4.325 8.824 9.817 104.35 102.73 90.00
Atoms (fractional coordinates):
1 Pm 0.662 0.102 0.324
2 Pm 0.673 0.568 0.346
3 Pm 0.992 0.763 0.984
4 Pm 0.008 0.237 0.016
5 Pm 0.338 0.898 0.676
6 Pm 0.327 0.432 0.654
7 Si 0.834 0.667 0.667
8 Si 0.166 0.333 0.333
9 As 0.500 0.000 0.000
10 Te 0.835 0.166 0.669
11 Te 0.500 0.500 0.000
12 Te 0.165 0.834 0.331

Uncorrected formation energy (eV per atom): -1.278
Space-group type: C2/m, No. 12
E_tot (eV/atom): -5.730


Record 5
Compound: AuCSe3
Source: Alexandria via LeMat-Bulk
Functional: PBE-GGA
Structure: optimized geometry

Lattice parameters (Å, degrees): 5.104 5.104 5.104 90.00 90.00 90.00
Atoms (fractional coordinates):
1 Se 0.000 0.000 0.500
2 Se 0.000 0.500 0.000
3 Se 0.500 0.000 0.000
4 Au 0.000 0.000 0.000
5 C 0.500 0.500 0.500

Uncorrected formation energy (eV per atom): 1.991
Space-group type: Pm-3m, No. 221
E_tot (eV/atom): -2.600


Record 6
Compound: BaIn4Pb4
Source: Alexandria via LeMat-Bulk
Functional: PBE-GGA
Structure: optimized geometry

Lattice parameters (Å, degrees): 7.146 7.146 11.905 90.00 90.00 90.00
Atoms (fractional coordinates):
1 In 0.000 0.284 0.708
2 In 0.784 0.500 0.208
3 In 0.216 0.500 0.208
4 In 0.284 0.000 0.292
5 In 0.500 0.784 0.792
6 In 0.500 0.216 0.792
7 In 0.716 0.000 0.292
8 In 0.000 0.716 0.708
9 Pb 0.500 0.226 0.081
10 Pb 0.000 0.274 0.419
11 Pb 0.000 0.726 0.419
12 Pb 0.274 0.000 0.581
13 Pb 0.226 0.500 0.919
14 Pb 0.500 0.774 0.081
15 Pb 0.774 0.500 0.919
16 Pb 0.726 0.000 0.581
17 Ba 0.500 0.500 0.500
18 Ba 0.000 0.000 0.000

Space-group type: P4_2/nmc, No. 137
E_form (meV/atom): -78
E_tot (eV/atom): -3.157